No. 1
A relaxed PaCuW crystal, computed with PBE.

The structure in CIF format:
```
data_PaCuW
_chemical_formula_sum 'Pa4 Cu4 W4'
_symmetry_space_group_name_H-M 'F -4 3 m'
_symmetry_Int_Tables_number 216
_symmetry_space_group_name_Hall 'F -4 2 3'
_cell_length_a 6.221
_cell_length_b 6.221
_cell_length_c 6.221
_cell_angle_alpha 90.00
_cell_angle_beta 90.00
_cell_angle_gamma 90.00
loop_
_atom_site_label
_atom_site_fract_x
_atom_site_fract_y
_atom_site_fract_z
Pa1 0.000 0.000 0.000
Cu1 0.250 0.250 0.250
W1 0.000 0.000 0.500
```

Output
Calculated total energy = -96.03 eV for the cell shown
ΔH_f (0 K) = 0.7217 eV/atom
Distance to the lowest polymorph of the same formula = 0.0000 eV per atom
Size of the total moment = 0.0 μB per formula unit

***

No. 2
A relaxed RbHo3Mg4 crystal, computed with PBE.

The structure in CIF format:
```
data_RbHo3Mg4
_chemical_formula_sum 'Rb2 Ho6 Mg8'
_symmetry_space_group_name_H-M 'I 4/m m m'
_symmetry_Int_Tables_number 139
_symmetry_space_group_name_Hall '-I 4 2'
_cell_length_a 6.478
_cell_length_b 6.478
_cell_length_c 13.056
_cell_angle_alpha 90.00
_cell_angle_beta 90.00
_cell_angle_gamma 90.00
loop_
_atom_site_label
_atom_site_fract_x
_atom_site_fract_y
_atom_site_fract_z
Rb1 0.000 0.000 0.000
Ho1 0.000 0.000 0.500
Ho2 0.000 0.500 0.250
Mg1 0.000 0.000 0.265
Mg2 0.000 0.500 0.000
```

Output
Calculated total energy = -32.78 eV for the cell shown
Size of the total moment = 0.0 μB per formula unit

***

No. 3
A relaxed RbFeCoSe3 crystal, computed with PBE.

The structure in CIF format:
```
data_RbFeCoSe3
_chemical_formula_sum 'Rb4 Fe4 Co4 Se12'
_symmetry_space_group_name_H-M 'P n m a'
_symmetry_Int_Tables_number 62
_symmetry_space_group_name_Hall '-P 2ac 2n'
_cell_length_a 15.619
_cell_length_b 3.618
_cell_length_c 9.381
_cell_angle_alpha 90.00
_cell_angle_beta 90.00
_cell_angle_gamma 90.00
loop_
_atom_site_label
_atom_site_fract_x
_atom_site_fract_y
_atom_site_fract_z
Rb1 0.242 0.250 0.046
Fe1 0.014 0.250 0.324
Co1 0.010 0.750 0.098
Se1 0.070 0.250 0.569
Se2 0.081 0.750 0.874
Se3 0.114 0.750 0.269
```

Output
Calculated total energy = -118.56 eV for the cell shown
Size of the total moment = 0.3 μB per formula unit

***

No. 4
A relaxed K2NaTcF6 crystal, computed with PBE.

The structure in CIF format:
```
data_K2NaTcF6
_chemical_formula_sum 'K4 Na2 Tc2 F12'
_symmetry_space_group_name_H-M 'I 4/m m m'
_symmetry_Int_Tables_number 139
_symmetry_space_group_name_Hall '-I 4 2'
_cell_length_a 5.804
_cell_length_b 5.804
_cell_length_c 8.127
_cell_angle_alpha 90.00
_cell_angle_beta 90.00
_cell_angle_gamma 90.00
loop_
_atom_site_label
_atom_site_fract_x
_atom_site_fract_y
_atom_site_fract_z
K1 0.000 0.500 0.250
Na1 0.000 0.000 0.000
Tc1 0.000 0.000 0.500
F1 0.000 0.000 0.256
F2 0.245 0.245 0.500
```

Output
Calculated total energy = -98.41 eV for the cell shown
Distance to the lowest polymorph of the same formula = 0.0346 eV per atom
Size of the total moment = 2.0 μB per formula unit

***

No. 5
A relaxed TmAsPtO crystal, computed with PBE.

The structure in CIF format:
```
data_TmAsPtO
_chemical_formula_sum 'Tm2 As2 Pt2 O2'
_symmetry_space_group_name_H-M 'P 4/n m m'
_symmetry_Int_Tables_number 129
_cell_length_a 5.719
_cell_length_b 5.719
_cell_length_c 4.590
_cell_angle_alpha 90.00
_cell_angle_beta 90.00
_cell_angle_gamma 90.00
loop_
_symmetry_equiv_pos_as_xyz
'x,y,z'
'-x,-y,-z'
'-y+1/2,x,z'
'y+1/2,-x,-z'
'-x+1/2,-y+1/2,z'
'x+1/2,y+1/2,-z'
'y,-x+1/2,z'
'-y,x+1/2,-z'
'x+1/2,-y,-z'
'-x+1/2,y,z'
'-y,-x,-z'
'y,x,z'
'-x,y+1/2,-z'
'x,-y+1/2,z'
'y+1/2,x+1/2,-z'
'-y+1/2,-x+1/2,z'
loop_
_atom_site_label
_atom_site_fract_x
_atom_site_fract_y
_atom_site_fract_z
Tm1 0.250 0.750 0.000
As1 0.250 0.250 0.005
Pt1 0.250 0.250 0.505
O1 0.250 0.750 0.500
```

Output
Calculated total energy = -46.77 eV for the cell shown
Distance to the lowest polymorph of the same formula = 0.9646 eV per atom
Size of the total moment = 0.0 μB per formula unit

***

No. 6
A relaxed HfCuBAu crystal, computed with PBE.

The structure in CIF format:
```
data_HfCuBAu
_chemical_formula_sum 'Hf4 Cu4 B4 Au4'
_symmetry_space_group_name_H-M 'F -4 3 m'
_symmetry_Int_Tables_number 216
_symmetry_space_group_name_Hall 'F -4 2 3'
_cell_length_a 6.184
_cell_length_b 6.184
_cell_length_c 6.184
_cell_angle_alpha 90.00
_cell_angle_beta 90.00
_cell_angle_gamma 90.00
loop_
_atom_site_label
_atom_site_fract_x
_atom_site_fract_y
_atom_site_fract_z
Hf1 0.000 0.000 0.000
Cu1 0.000 0.000 0.500
B1 0.250 0.250 0.250
Au1 0.250 0.250 0.750
```

Output
Calculated total energy = -91.24 eV for the cell shown
Distance to the lowest polymorph of the same formula = 0.0000 eV per atom
Size of the total moment = 0.0 μB per formula unit

***

No. 7
A relaxed Zr2GaHg crystal, computed with PBE.

The structure in CIF format:
```
data_Zr2GaHg
_chemical_formula_sum 'Zr8 Ga4 Hg4'
_symmetry_space_group_name_H-M 'F -4 3 m'
_symmetry_Int_Tables_number 216
_symmetry_space_group_name_Hall 'F -4 2 3'
_cell_length_a 7.003
_cell_length_b 7.003
_cell_length_c 7.003
_cell_angle_alpha 90.00
_cell_angle_beta 90.00
_cell_angle_gamma 90.00
loop_
_atom_site_label
_atom_site_fract_x
_atom_site_fract_y
_atom_site_fract_z
Zr1 0.000 0.000 0.000
Zr2 0.250 0.250 0.250
Ga1 0.000 0.000 0.500
Hg1 0.250 0.250 0.750
```

Output
Calculated total energy = -78.09 eV for the cell shown
Size of the total moment = 2.4 μB per formula unit

***

No. 8
A relaxed ZrFeSbPd crystal, computed with PBE.

The structure in CIF format:
```
data_ZrFeSbPd
_chemical_formula_sum 'Zr4 Fe4 Sb4 Pd4'
_symmetry_space_group_name_H-M 'F -4 3 m'
_symmetry_Int_Tables_number 216
_symmetry_space_group_name_Hall 'F -4 2 3'
_cell_length_a 6.522
_cell_length_b 6.522
_cell_length_c 6.522
_cell_angle_alpha 90.00
_cell_angle_beta 90.00
_cell_angle_gamma 90.00
loop_
_atom_site_label
_atom_site_fract_x
_atom_site_fract_y
_atom_site_fract_z
Zr1 0.000 0.000 0.000
Fe1 0.000 0.000 0.500
Sb1 0.250 0.250 0.250
Pd1 0.250 0.250 0.750
```

Output
Calculated total energy = -107.79 eV for the cell shown
Distance to the lowest polymorph of the same formula = 0.1226 eV per atom
Size of the total moment = 2.3 μB per formula unit

***

No. 9
A relaxed KTcAgSeS2 crystal, computed with PBE.

The structure in CIF format:
```
data_KTcAgSeS2
_chemical_formula_sum 'K4 Tc4 Ag4 Se4 S8'
_symmetry_space_group_name_H-M 'C m c m'
_symmetry_Int_Tables_number 63
_symmetry_space_group_name_Hall '-C 2c 2'
_cell_length_a 3.665
_cell_length_b 15.058
_cell_length_c 10.051
_cell_angle_alpha 90.00
_cell_angle_beta 90.00
_cell_angle_gamma 90.00
loop_
_atom_site_label
_atom_site_fract_x
_atom_site_fract_y
_atom_site_fract_z
K1 0.000 0.244 0.250
Tc1 0.000 0.000 0.000
Ag1 0.000 0.445 0.750
Se1 0.000 0.071 0.750
S1 0.000 0.389 0.524
```

Output
Calculated total energy = -112.43 eV for the cell shown
Distance to the lowest polymorph of the same formula = 0.0926 eV per atom
Size of the total moment = 2.6 μB per formula unit

***

No. 10
A relaxed Li4GaGePd2 crystal, computed with PBE.

The structure in CIF format:
```
data_Li4GaGePd2
_chemical_formula_sum 'Li4 Ga1 Ge1 Pd2'
_symmetry_space_group_name_H-M 'P -4 m 2'
_symmetry_Int_Tables_number 115
_symmetry_space_group_name_Hall 'P -4 -2'
_cell_length_a 4.292
_cell_length_b 4.292
_cell_length_c 6.059
_cell_angle_alpha 90.00
_cell_angle_beta 90.00
_cell_angle_gamma 90.00
loop_
_atom_site_label
_atom_site_fract_x
_atom_site_fract_y
_atom_site_fract_z
Li1 0.000 0.000 0.000
Li2 0.000 0.500 0.250
Li3 0.500 0.500 0.500
Ga1 0.000 0.000 0.500
Ge1 0.500 0.500 0.000
Pd1 0.000 0.500 0.751
```

Output
Calculated total energy = -30.04 eV for the cell shown

***

No. 11
A relaxed FeSiNiW crystal, computed with PBE.

The structure in CIF format:
```
data_FeSiNiW
_chemical_formula_sum 'Fe4 Si4 Ni4 W4'
_symmetry_space_group_name_H-M 'F -4 3 m'
_symmetry_Int_Tables_number 216
_symmetry_space_group_name_Hall 'F -4 2 3'
_cell_length_a 5.819
_cell_length_b 5.819
_cell_length_c 5.819
_cell_angle_alpha 90.00
_cell_angle_beta 90.00
_cell_angle_gamma 90.00
loop_
_atom_site_label
_atom_site_fract_x
_atom_site_fract_y
_atom_site_fract_z
Fe1 0.000 0.000 0.000
Si1 0.250 0.250 0.750
Ni1 0.250 0.250 0.250
W1 0.000 0.000 0.500
```

Output
Calculated total energy = -129.30 eV for the cell shown
Distance to the lowest polymorph of the same formula = 0.0403 eV per atom
Size of the total moment = 0.8 μB per formula unit

***

No. 12
A relaxed Ho4CBr4F crystal, computed with PBE.

The structure in CIF format:
```
data_Ho4CBr4F
_chemical_formula_sum 'Ho8 C2 Br8 F2'
_symmetry_space_group_name_H-M 'C 1 2/m 1'
_symmetry_Int_Tables_number 12
_symmetry_space_group_name_Hall '-C 2y'
_cell_length_a 17.547
_cell_length_b 3.656
_cell_length_c 7.444
_cell_angle_alpha 90.00
_cell_angle_beta 101.17
_cell_angle_gamma 90.00
loop_
_atom_site_label
_atom_site_fract_x
_atom_site_fract_y
_atom_site_fract_z
Ho1 0.003 0.000 0.275
Ho2 0.138 0.500 0.574
C1 0.000 0.500 0.500
Br1 0.161 0.000 0.864
Br2 0.172 0.000 0.312
F1 0.000 0.500 0.000
```

Output
Calculated total energy = -104.09 eV for the cell shown
Size of the total moment = 0.0 μB per formula unit